1.
The following is a PBE calculation of an optimized crystal structure of CrSbTe2P, from Alexandria via LeMat-Bulk.

Geometry as extended XYZ:
```
5
Lattice="4.947 0.000 0.000 0.000 4.947 0.000 0.000 0.000 5.076" Properties=species:S:1:pos:R:3 pbc="T T T"
Sb 0.000 0.000 2.538
Te 0.000 2.473 0.000
Te 2.473 0.000 0.000
P 2.473 2.473 2.538
Cr 0.000 0.000 0.000
```

Fermi-level density of states = 3.80 states/eV per cell
Theoretical density = 6149 kg/m3
Spin magnetization = 0.000 μB per formula unit
E_form (uncorrected) = 0.73 eV/atom
Energy relative to the lowest polymorph listed for this composition = 0.00 eV/f.u.
Total energy = -4.36 eV per atom

2.
The following is a PBE calculation of an optimized crystal structure of CrSb2PW, from Alexandria via LeMat-Bulk.

Geometry as extended XYZ:
```
5
Lattice="5.178 0.000 0.000 0.000 4.832 0.000 0.000 0.000 5.178" Properties=species:S:1:pos:R:3 pbc="T T T"
Sb 0.000 0.000 2.589
Sb 2.589 0.000 0.000
P 2.589 2.416 2.589
W 0.000 0.000 0.000
Cr 0.000 2.416 0.000
```

Fermi-level density of states = 4.25 states/eV per cell
Theoretical density = 6540 kg/m3
Spin magnetization = 2.488 μB per formula unit
E_form (uncorrected) = 1.20 eV/atom
Total energy = -6.04 eV per atom